Record 1
Below is a relaxed structure of Na3Pu3TeSe8, with properties calculated at the PBE-GGA level.

Computed properties:
* formation energy without anion corrections: -1.12 eV per atom
* size of the total moment: 15.0 Bohr magnetons per cell
* calculated density: 6.09 g cm⁻³
* V: 28.355 Å³ per atom

Unit cell a=8.4799 b=8.4799 c=8.4799 alpha=59.40 beta=59.40 gamma=59.40
Fractional positions:
Na  0.0000  0.5000  0.5000
Na  0.5000  0.0000  0.5000
Na  0.5000  0.5000  0.0000
Pu  0.0000  0.0000  0.5000
Pu  0.0000  0.5000  0.0000
Pu  0.5000  0.0000  0.0000
Te  0.5000  0.5000  0.5000
Se  0.2428  0.2428  0.2428
Se  0.2495  0.7382  0.7382
Se  0.2618  0.2618  0.7505
Se  0.2618  0.7505  0.2618
Se  0.7382  0.2495  0.7382
Se  0.7382  0.7382  0.2495
Se  0.7505  0.2618  0.2618
Se  0.7572  0.7572  0.7572


Record 2
Below is a relaxed structure of Sr12Ca5Ac, with properties calculated at the PBE-GGA level.

Computed properties:
* formation enthalpy at 0 K: 3.2 kJ/mol of atoms
* size of the total moment: 0.0 Bohr magnetons per cell
* calculated density: 2.71 g cm⁻³
* V: 50.369 Å³ per atom

Unit cell a=7.1710 b=7.1710 c=20.4879 alpha=93.34 beta=93.34 gamma=119.95
Fractional positions:
Sr  0.0555  0.3866  0.1635
Sr  0.1117  0.1117  0.3375
Sr  0.2216  0.5548  0.6622
Sr  0.2756  0.2756  0.8364
Sr  0.3866  0.0555  0.1635
Sr  0.4452  0.7784  0.3378
Sr  0.5548  0.2216  0.6622
Sr  0.6134  0.9445  0.8365
Sr  0.7244  0.7244  0.1636
Sr  0.7784  0.4452  0.3378
Sr  0.8883  0.8883  0.6625
Sr  0.9445  0.6134  0.8365
Ca  0.1663  0.8337  0.5000
Ca  0.3334  0.6666  0.0000
Ca  0.5000  0.5000  0.5000
Ca  0.6666  0.3334  0.0000
Ca  0.8337  0.1663  0.5000
Ac  0.0000  0.0000  0.0000


Record 3
Below is a relaxed structure of ZrBe3, with properties calculated at the PBE-GGA level.

Computed properties:
* energy above the lowest structure with this stoichiometry: 201 meV/atom
* formation enthalpy at 0 K: 2.0 kJ/mol of atoms
* size of the total moment: 0.0 Bohr magnetons per cell
* calculated density: 4.12 g cm⁻³
* V: 11.918 Å³ per atom

Unit cell a=4.0700 b=4.0700 c=4.0700 alpha=60.00 beta=60.00 gamma=60.00
Fractional positions:
Zr  0.0000  0.0000  0.0000
Be  0.2500  0.2500  0.2500
Be  0.5000  0.5000  0.5000
Be  0.7500  0.7500  0.7500


Record 4
Below is a relaxed structure of RuPtN2, with properties calculated at the PBE-GGA level.

Computed properties:
* energy above the lowest structure with this stoichiometry: 0 meV/atom
* formation energy without anion corrections: 0.44 eV per atom
* size of the total moment: 0.0 Bohr magnetons per cell
* calculated density: 11.81 g cm⁻³
* V: 11.392 Å³ per atom

Unit cell a=6.6543 b=6.6543 c=6.6543 alpha=24.79 beta=24.79 gamma=24.79
Fractional positions:
Ru  0.0000  0.0000  0.0000
Pt  0.5000  0.5000  0.5000
N  0.3979  0.3979  0.3979
N  0.6021  0.6021  0.6021


Record 5
Below is a relaxed structure of LiTiNb2Rh, with properties calculated at the PBE-GGA level.

Computed properties:
* formation enthalpy at 0 K: 112.7 kJ/mol of atoms
* size of the total moment: 0.0 Bohr magnetons per cell
* calculated density: 6.21 g cm⁻³
* V: 18.368 Å³ per atom

Unit cell a=4.5950 b=4.5950 c=4.3497 alpha=90.00 beta=90.00 gamma=90.00
Fractional positions:
Li  0.0000  0.0000  0.0000
Ti  0.0000  0.0000  0.5000
Nb  0.0000  0.5000  0.5000
Nb  0.5000  0.0000  0.5000
Rh  0.5000  0.5000  0.0000


Record 6
Below is a relaxed structure of Fe2CoPd9, with properties calculated at the PBE-GGA level.

Computed properties:
* formation enthalpy at 0 K: -3.5 kJ/mol of atoms
* size of the total moment: 11.5 Bohr magnetons per cell
* calculated density: 10.65 g cm⁻³
* V: 14.660 Å³ per atom

Unit cell a=3.8820 b=3.8820 c=11.6733 alpha=90.00 beta=90.00 gamma=90.00
Fractional positions:
Fe  0.0000  0.0000  0.1677
Fe  0.0000  0.0000  0.8323
Co  0.0000  0.0000  0.5000
Pd  0.0000  0.5000  0.0000
Pd  0.0000  0.5000  0.3336
Pd  0.0000  0.5000  0.6664
Pd  0.5000  0.0000  0.0000
Pd  0.5000  0.0000  0.3336
Pd  0.5000  0.0000  0.6664
Pd  0.5000  0.5000  0.1669
Pd  0.5000  0.5000  0.5000
Pd  0.5000  0.5000  0.8331


Record 7
Below is a relaxed structure of NiIr6Rh2, with properties calculated at the PBE-GGA level.

Computed properties:
* formation enthalpy at 0 K: 4.5 kJ/mol of atoms
* size of the total moment: 0.0 Bohr magnetons per cell
* calculated density: 18.45 g cm⁻³
* V: 14.179 Å³ per atom

Unit cell a=5.1807 b=6.4500 c=8.1832 alpha=89.84 beta=74.77 gamma=75.79
Fractional positions:
Ni  0.1072  0.1406  0.2331
Ni  0.8928  0.8594  0.7669
Ir  0.1088  0.1378  0.5675
Ir  0.1105  0.1369  0.8959
Ir  0.2190  0.5303  0.8810
Ir  0.2253  0.5267  0.2129
Ir  0.4441  0.8089  0.3426
Ir  0.4472  0.8065  0.6772
Ir  0.5528  0.1935  0.3228
Ir  0.5559  0.1911  0.6574
Ir  0.7747  0.4733  0.7871
Ir  0.7810  0.4697  0.1190
Ir  0.8895  0.8631  0.1041
Ir  0.8912  0.8622  0.4325
Rh  0.2213  0.5296  0.5474
Rh  0.4448  0.8055  0.0095
Rh  0.5552  0.1945  0.9905
Rh  0.7787  0.4704  0.4526


Record 8
Below is a relaxed structure of ReSBrN2, with properties calculated at the PBE-GGA level.

Computed properties:
* energy above the lowest structure with this stoichiometry: 0 meV/atom
* formation energy without anion corrections: 0.64 eV per atom
* size of the total moment: 0.0 Bohr magnetons per cell
* calculated density: 6.88 g cm⁻³
* V: 15.744 Å³ per atom

Unit cell a=3.8380 b=3.8380 c=5.3440 alpha=90.00 beta=90.00 gamma=90.00
Fractional positions:
Re  0.0000  0.0000  0.0000
S  0.0000  0.0000  0.5000
Br  0.5000  0.5000  0.5000
N  0.0000  0.5000  0.0000
N  0.5000  0.0000  0.0000


Record 9
Below is a relaxed structure of TaPOs2, with properties calculated at the PBE-GGA level.

Computed properties:
* formation enthalpy at 0 K: 10.1 kJ/mol of atoms
* size of the total moment: 0.0 Bohr magnetons per cell
* calculated density: 16.58 g cm⁻³
* V: 14.834 Å³ per atom

Unit cell a=2.9187 b=4.4935 c=4.5244 alpha=90.00 beta=90.00 gamma=90.00
Fractional positions:
Ta  0.0000  0.0000  0.0000
P  0.5000  0.0000  0.5000
Os  0.0000  0.5000  0.5000
Os  0.5000  0.5000  0.0000


Record 10
Below is a relaxed structure of LiCaIr2, with properties calculated at the PBE-GGA level.

Computed properties:
* energy above the lowest structure with this stoichiometry: 248 meV/atom
* formation enthalpy at 0 K: 11.9 kJ/mol of atoms
* size of the total moment: 0.1 Bohr magnetons per cell
* calculated density: 11.04 g cm⁻³
* V: 16.227 Å³ per atom

Unit cell a=3.1097 b=3.1097 c=6.7123 alpha=90.00 beta=90.00 gamma=90.00
Fractional positions:
Li  0.0000  0.0000  0.0000
Ca  0.0000  0.0000  0.5000
Ir  0.5000  0.5000  0.1952
Ir  0.5000  0.5000  0.8048


Record 11
Below is a relaxed structure of Nd6Y2Er3Mg, with properties calculated at the PBE-GGA level.

Computed properties:
* formation enthalpy at 0 K: 1.9 kJ/mol of atoms
* size of the total moment: 0.0 Bohr magnetons per cell
* calculated density: 6.68 g cm⁻³
* V: 32.503 Å³ per atom

Unit cell a=6.2307 b=6.2307 c=11.7916 alpha=95.07 beta=95.07 gamma=120.04
Fractional positions:
Nd  0.0829  0.4149  0.7504
Nd  0.2491  0.2491  0.2485
Nd  0.4149  0.0829  0.7504
Nd  0.5851  0.9171  0.2496
Nd  0.7509  0.7509  0.7515
Nd  0.9171  0.5851  0.2496
Y  0.3335  0.6665  0.5000
Y  0.6665  0.3335  0.5000
Er  0.1666  0.8334  0.0000
Er  0.5000  0.5000  0.0000
Er  0.8334  0.1666  0.0000
Mg  0.0000  0.0000  0.5000


Record 12
Below is a relaxed structure of ZnNi2BSb, with properties calculated at the PBE-GGA level.

Computed properties:
* formation energy without anion corrections: 0.15 eV per atom
* size of the total moment: 0.0 Bohr magnetons per cell
* calculated density: 7.65 g cm⁻³
* V: 13.692 Å³ per atom

Unit cell a=4.0689 b=4.0689 c=4.1349 alpha=90.00 beta=90.00 gamma=90.00
Fractional positions:
Zn  0.0000  0.0000  0.0000
Ni  0.0000  0.5000  0.5000
Ni  0.5000  0.0000  0.5000
B  0.0000  0.0000  0.5000
Sb  0.5000  0.5000  0.0000


Record 13
Below is a relaxed structure of Tm2Pd3Au2, with properties calculated at the PBE-GGA level.

Computed properties:
* energy above the lowest structure with this stoichiometry: 0 meV/atom
* formation enthalpy at 0 K: -68.3 kJ/mol of atoms
* size of the total moment: 0.0 Bohr magnetons per cell
* calculated density: 12.37 g cm⁻³
* V: 20.152 Å³ per atom

Unit cell a=5.2458 b=5.2458 c=8.3018 alpha=117.57 beta=117.57 gamma=45.56
Fractional positions:
Tm  0.2030  0.2030  0.2730
Tm  0.7970  0.7970  0.7270
Pd  0.4612  0.4612  0.6391
Pd  0.5000  0.5000  0.0000
Pd  0.5388  0.5388  0.3609
Au  0.1528  0.1528  0.8757
Au  0.8472  0.8472  0.1243


Record 14
Below is a relaxed structure of LaPPt2, with properties calculated at the PBE-GGA level.

Computed properties:
* formation enthalpy at 0 K: -91.8 kJ/mol of atoms
* size of the total moment: 0.0 Bohr magnetons per cell
* calculated density: 9.71 g cm⁻³
* V: 23.955 Å³ per atom

Unit cell a=8.2192 b=8.2192 c=8.2192 alpha=143.90 beta=143.90 gamma=51.97
Fractional positions:
La  0.0000  0.0000  0.0000
La  0.7500  0.2500  0.5000
P  0.2500  0.7500  0.5000
P  0.5000  0.5000  0.0000
Pt  0.2532  0.6250  0.1282
Pt  0.3750  0.5032  0.6282
Pt  0.4968  0.1250  0.8718
Pt  0.8750  0.7468  0.3718


Record 15
Below is a relaxed structure of CsKBe2Pt, with properties calculated at the PBE-GGA level.

Computed properties:
* formation enthalpy at 0 K: 197.7 kJ/mol of atoms
* size of the total moment: 0.0 Bohr magnetons per cell
* calculated density: 2.99 g cm⁻³
* V: 42.790 Å³ per atom

Unit cell a=5.6988 b=5.6988 c=6.5880 alpha=90.00 beta=90.00 gamma=90.00
Fractional positions:
Cs  0.0000  0.0000  0.0000
K  0.0000  0.0000  0.5000
Be  0.0000  0.5000  0.0000
Be  0.5000  0.0000  0.0000
Pt  0.5000  0.5000  0.5000


Record 16
Below is a relaxed structure of ZrSc3Co, with properties calculated at the PBE-GGA level.

Computed properties:
* energy above the lowest structure with this stoichiometry: 1385 meV/atom
* formation enthalpy at 0 K: 121.3 kJ/mol of atoms
* size of the total moment: 0.0 Bohr magnetons per cell
* calculated density: 3.83 g cm⁻³
* V: 24.701 Å³ per atom

Unit cell a=4.9800 b=4.9800 c=4.9800 alpha=90.00 beta=90.00 gamma=90.00
Fractional positions:
Zr  0.0000  0.0000  0.0000
Sc  0.0000  0.0000  0.5000
Sc  0.0000  0.5000  0.0000
Sc  0.5000  0.0000  0.0000
Co  0.5000  0.5000  0.5000